1.
# MgCuAg2, relaxed, DFT PBE
data_MgCuAg2
_chemical_formula_sum 'Mg1 Cu1 Ag2'
_cell_length_a 5.328
_cell_length_b 5.296
_cell_length_c 2.856
_cell_angle_alpha 79.40
_cell_angle_beta 80.19
_cell_angle_gamma 117.19
_space_group_name_H-M_alt 'P 1'
_space_group_IT_number 1
_space_group_name_Hall 'P 1'
loop_
_atom_site_label
_atom_site_fract_x
_atom_site_fract_y
_atom_site_fract_z
Mg1 0.500 0.500 0.000
Cu1 0.000 0.500 0.500
Ag1 0.500 0.000 0.500
Ag2 0.000 0.000 0.000
# Formation enthalpy at 0 K   0.0122 eV/atom



2.
# MgCuAg2, relaxed, DFT PBE
data_MgCuAg2
_chemical_formula_sum 'Mg1 Cu1 Ag2'
_cell_length_a 9.082
_cell_length_b 9.082
_cell_length_c 9.082
_cell_angle_alpha 18.84
_cell_angle_beta 18.84
_cell_angle_gamma 18.84
_space_group_name_H-M_alt 'P 1'
_space_group_IT_number 1
_space_group_name_Hall 'P 1'
loop_
_atom_site_label
_atom_site_fract_x
_atom_site_fract_y
_atom_site_fract_z
Ag1 0.504 0.504 0.504
Cu1 0.250 0.250 0.250
Ag2 0.996 0.996 0.996
Mg1 0.750 0.750 0.750
# Formation enthalpy at 0 K   0.0300 eV/atom



3.
# Mg2CuAg, relaxed, DFT PBE
data_Mg2CuAg
_chemical_formula_sum 'Mg2 Cu1 Ag1'
_cell_length_a 6.164
_cell_length_b 6.164
_cell_length_c 6.164
_cell_angle_alpha 55.38
_cell_angle_beta 152.85
_cell_angle_gamma 132.71
_space_group_name_H-M_alt 'P 1'
_space_group_IT_number 1
_space_group_name_Hall 'P 1'
loop_
_atom_site_label
_atom_site_fract_x
_atom_site_fract_y
_atom_site_fract_z
Ag1 0.000 0.500 0.500
Mg1 0.000 0.763 0.763
Cu1 0.000 0.000 0.000
Mg2 0.000 0.237 0.237
# Formation enthalpy at 0 K   0.3037 eV/atom



4.
# MgCuAg2, relaxed, DFT PBE
data_MgCuAg2
_chemical_formula_sum 'Mg1 Cu1 Ag2'
_cell_length_a 4.062
_cell_length_b 4.061
_cell_length_c 4.027
_cell_angle_alpha 90.00
_cell_angle_beta 90.00
_cell_angle_gamma 90.00
_space_group_name_H-M_alt 'P 1'
_space_group_IT_number 1
_space_group_name_Hall 'P 1'
loop_
_atom_site_label
_atom_site_fract_x
_atom_site_fract_y
_atom_site_fract_z
Mg1 0.000 0.500 0.500
Ag1 0.500 0.500 0.000
Ag2 0.000 0.000 0.000
Cu1 0.500 0.000 0.500
# Formation enthalpy at 0 K   -0.0671 eV/atom



5.
# MgCuAg, relaxed, DFT PBE
data_MgCuAg
_chemical_formula_sum 'Mg1 Cu1 Ag1'
_cell_length_a 4.493
_cell_length_b 4.493
_cell_length_c 2.879
_cell_angle_alpha 90.00
_cell_angle_beta 90.00
_cell_angle_gamma 120.00
_space_group_name_H-M_alt 'P 1'
_space_group_IT_number 1
_space_group_name_Hall 'P 1'
loop_
_atom_site_label
_atom_site_fract_x
_atom_site_fract_y
_atom_site_fract_z
Cu1 0.667 0.333 0.217
Mg1 0.333 0.667 0.661
Ag1 0.000 0.000 0.122
# Formation enthalpy at 0 K   -0.0481 eV/atom



6.
# MgCu2Ag, relaxed, DFT PBE
data_MgCu2Ag
_chemical_formula_sum 'Mg2 Cu4 Ag2'
_cell_length_a 7.086
_cell_length_b 7.086
_cell_length_c 5.663
_cell_angle_alpha 51.27
_cell_angle_beta 51.27
_cell_angle_gamma 90.00
_space_group_name_H-M_alt 'P 1'
_space_group_IT_number 1
_space_group_name_Hall 'P 1'
loop_
_atom_site_label
_atom_site_fract_x
_atom_site_fract_y
_atom_site_fract_z
Cu1 0.875 0.879 0.750
Cu2 0.629 0.125 0.250
Cu3 0.121 0.625 0.250
Ag1 0.000 0.000 0.000
Mg1 0.500 0.500 0.000
Cu4 0.375 0.371 0.750
Ag2 0.750 0.250 0.500
Mg2 0.250 0.750 0.500
# Formation enthalpy at 0 K   0.2241 eV/atom



7.
# NdMgCuAg, relaxed, DFT PBE
data_NdMgCuAg
_chemical_formula_sum 'Nd1 Mg1 Cu1 Ag1'
_cell_length_a 4.948
_cell_length_b 4.948
_cell_length_c 4.948
_cell_angle_alpha 60.00
_cell_angle_beta 60.00
_cell_angle_gamma 60.00
_space_group_name_H-M_alt 'P 1'
_space_group_IT_number 1
_space_group_name_Hall 'P 1'
loop_
_atom_site_label
_atom_site_fract_x
_atom_site_fract_y
_atom_site_fract_z
Mg1 0.750 0.750 0.750
Nd1 0.250 0.250 0.250
Cu1 0.000 0.000 0.000
Ag1 0.500 0.500 0.500
# Formation enthalpy at 0 K   -0.2056 eV/atom



8.
# MgCu2AgP, relaxed, DFT PBE
data_MgCu2AgP
_chemical_formula_sum 'Mg1 Cu2 Ag1 P1'
_cell_length_a 4.659
_cell_length_b 4.633
_cell_length_c 4.659
_cell_angle_alpha 90.00
_cell_angle_beta 90.00
_cell_angle_gamma 90.00
_space_group_name_H-M_alt 'P 1'
_space_group_IT_number 1
_space_group_name_Hall 'P 1'
loop_
_atom_site_label
_atom_site_fract_x
_atom_site_fract_y
_atom_site_fract_z
Cu1 0.000 0.000 0.500
Mg1 0.000 0.000 0.000
P1 0.000 0.500 0.000
Ag1 0.500 0.500 0.500
Cu2 0.500 0.000 0.000
# Formation enthalpy at 0 K   0.9077 eV/atom



9.
# MgCuAgPd, relaxed, DFT PBE
data_MgCuAgPd
_chemical_formula_sum 'Mg1 Cu1 Ag1 Pd1'
_cell_length_a 4.453
_cell_length_b 4.453
_cell_length_c 4.453
_cell_angle_alpha 60.00
_cell_angle_beta 60.00
_cell_angle_gamma 60.00
_space_group_name_H-M_alt 'P 1'
_space_group_IT_number 1
_space_group_name_Hall 'P 1'
loop_
_atom_site_label
_atom_site_fract_x
_atom_site_fract_y
_atom_site_fract_z
Ag1 0.500 0.500 0.500
Mg1 0.750 0.750 0.750
Cu1 0.250 0.250 0.250
Pd1 0.000 0.000 0.000
# Formation enthalpy at 0 K   -0.2718 eV/atom



10.
# PmMgCuAg, relaxed, DFT PBE
data_PmMgCuAg
_chemical_formula_sum 'Pm1 Mg1 Cu1 Ag1'
_cell_length_a 4.924
_cell_length_b 4.924
_cell_length_c 4.924
_cell_angle_alpha 60.00
_cell_angle_beta 60.00
_cell_angle_gamma 60.00
_space_group_name_H-M_alt 'P 1'
_space_group_IT_number 1
_space_group_name_Hall 'P 1'
loop_
_atom_site_label
_atom_site_fract_x
_atom_site_fract_y
_atom_site_fract_z
Cu1 0.250 0.250 0.250
Mg1 0.000 0.000 0.000
Ag1 0.750 0.750 0.750
Pm1 0.500 0.500 0.500
# Formation enthalpy at 0 K   -0.2126 eV/atom



11.
# PrMgCuAg, relaxed, DFT PBE
data_PrMgCuAg
_chemical_formula_sum 'Pr1 Mg1 Cu1 Ag1'
_cell_length_a 4.974
_cell_length_b 4.974
_cell_length_c 4.974
_cell_angle_alpha 60.00
_cell_angle_beta 60.00
_cell_angle_gamma 60.00
_space_group_name_H-M_alt 'P 1'
_space_group_IT_number 1
_space_group_name_Hall 'P 1'
loop_
_atom_site_label
_atom_site_fract_x
_atom_site_fract_y
_atom_site_fract_z
Cu1 0.250 0.250 0.250
Mg1 0.500 0.500 0.500
Pr1 0.000 0.000 0.000
Ag1 0.750 0.750 0.750
# Formation enthalpy at 0 K   -0.1990 eV/atom



12.
# Mg2CuAgPt, relaxed, DFT PBE
data_Mg2CuAgPt
_chemical_formula_sum 'Mg2 Cu1 Ag1 Pt1'
_cell_length_a 4.874
_cell_length_b 4.600
_cell_length_c 4.874
_cell_angle_alpha 90.00
_cell_angle_beta 90.00
_cell_angle_gamma 90.00
_space_group_name_H-M_alt 'P 1'
_space_group_IT_number 1
_space_group_name_Hall 'P 1'
loop_
_atom_site_label
_atom_site_fract_x
_atom_site_fract_y
_atom_site_fract_z
Ag1 0.000 0.000 0.000
Cu1 0.000 0.500 0.000
Pt1 0.500 0.500 0.500
Mg1 0.500 0.000 0.000
Mg2 0.000 0.000 0.500
# Formation enthalpy at 0 K   0.6072 eV/atom



13.
# MgCu2AgPt, relaxed, DFT PBE
data_MgCu2AgPt
_chemical_formula_sum 'Mg1 Cu2 Ag1 Pt1'
_cell_length_a 4.710
_cell_length_b 5.087
_cell_length_c 4.710
_cell_angle_alpha 90.00
_cell_angle_beta 90.00
_cell_angle_gamma 90.00
_space_group_name_H-M_alt 'P 1'
_space_group_IT_number 1
_space_group_name_Hall 'P 1'
loop_
_atom_site_label
_atom_site_fract_x
_atom_site_fract_y
_atom_site_fract_z
Cu1 0.500 0.000 0.000
Ag1 0.000 0.500 0.000
Mg1 0.500 0.500 0.500
Pt1 0.000 0.000 0.000
Cu2 0.000 0.000 0.500
# Formation enthalpy at 0 K   0.5657 eV/atom



14.
# Mg2Sc5Cu2Ag, relaxed, DFT PBE
data_Mg2Sc5Cu2Ag
_chemical_formula_sum 'Mg4 Sc10 Cu4 Ag2'
_cell_length_a 3.397
_cell_length_b 11.196
_cell_length_c 11.196
_cell_angle_alpha 90.00
_cell_angle_beta 90.00
_cell_angle_gamma 90.00
_space_group_name_H-M_alt 'P 1'
_space_group_IT_number 1
_space_group_name_Hall 'P 1'
loop_
_atom_site_label
_atom_site_fract_x
_atom_site_fract_y
_atom_site_fract_z
Cu1 0.000 0.371 0.129
Sc1 0.500 0.202 0.064
Cu2 0.000 0.629 0.871
Ag1 0.000 0.500 0.500
Sc2 0.500 0.436 0.298
Cu3 0.000 0.871 0.371
Sc3 0.500 0.936 0.202
Cu4 0.000 0.129 0.629
Sc4 0.500 0.500 0.000
Mg1 0.000 0.676 0.176
Sc5 0.500 0.798 0.936
Sc6 0.500 0.064 0.798
Sc7 0.500 0.298 0.564
Sc8 0.500 0.564 0.702
Ag2 0.000 0.000 0.000
Mg2 0.000 0.824 0.676
Mg3 0.000 0.176 0.324
Sc9 0.500 0.000 0.500
Sc10 0.500 0.702 0.436
Mg4 0.000 0.324 0.824
# Formation enthalpy at 0 K   -0.1313 eV/atom